No. 1
Li2MgZn2PdPt2 PBE relaxed; spin magnetization = 0.00 μB/cell; total energy = -3.710 eV per atom
1.0
4.255 0.000 0.000
0.000 4.255 0.000
0.000 0.000 6.480
Li Mg Zn Pd Pt
2 1 2 1 2
Direct
0.000 0.500 0.239
0.500 0.000 0.761
0.500 0.500 0.500
0.000 0.000 0.500
0.500 0.500 0.000
0.000 0.000 0.000
0.000 0.500 0.742
0.500 0.000 0.258

=====

No. 2
LiMgSbPd PBE relaxed; total energy = -3.771 eV per atom
1.0
0.000 3.270 3.270
3.270 0.000 3.270
3.270 3.270 0.000
Li Mg Sb Pd
1 1 1 1
Direct
0.000 0.000 0.000
0.250 0.250 0.250
0.750 0.750 0.750
0.500 0.500 0.500

=====

No. 3
Li4MgSiPd2 PBE relaxed; total energy = -3.594 eV per atom
1.0
4.303 0.000 0.000
0.000 4.303 0.000
0.000 0.000 6.113
Li Mg Si Pd
4 1 1 2
Direct
0.000 0.000 0.000
0.000 0.500 0.735
0.500 0.000 0.265
0.500 0.500 0.500
0.500 0.500 0.000
0.000 0.000 0.500
0.000 0.500 0.283
0.500 0.000 0.717

=====

No. 4
Li2Mg2ZnSiPd2 PBE relaxed; total energy = -3.496 eV per atom
1.0
4.378 0.000 0.000
0.000 4.378 0.000
0.000 0.000 6.194
Li Mg Zn Si Pd
2 2 1 1 2
Direct
0.000 0.500 0.249
0.500 0.000 0.751
0.000 0.000 0.000
0.500 0.500 0.500
0.000 0.000 0.500
0.500 0.500 0.000
0.000 0.500 0.765
0.500 0.000 0.235

=====

> What is the total energy in the first record?

-3.710 eV per atom

=====

> Which value of total energy does entry 4 give?

-3.496 eV per atom